Entry 1:
Crystalline UZnGe2 at its relaxed geometry. Source: Alexandria via LeMat-Bulk, functional PBE.

Cell lengths 3.471, 3.471, 6.374 Å; angles 90.00, 90.00, 90.00 degrees
Fractional coordinates of all 4 atoms:
U1 0.000 0.000 0.000
Zn1 0.000 0.000 0.500
Ge1 0.500 0.500 0.293
Ge2 0.500 0.500 0.707

Summary:
calculated total energy = -5.42 eV/atom
E_form = 30 meV per atom
DOS at the Fermi energy = 1.672 states/eV per atom
SG = P4/mmm, No. 123



Entry 2:
Crystalline UZnGe at its relaxed geometry. Source: Alexandria via LeMat-Bulk, functional PBE.

Cell lengths 5.173, 5.173, 7.561 Å; angles 115.46, 115.46, 41.50 degrees
Fractional coordinates of all 6 atoms:
U1 0.000 0.000 0.000
U2 0.705 0.705 0.123
Zn1 0.485 0.485 0.644
Zn2 0.757 0.757 0.570
Ge1 0.224 0.224 0.826
Ge2 0.484 0.484 0.298

Summary:
calculated total energy = -5.74 eV/atom
E_form = -18 meV per atom
DOS at the Fermi energy = 1.585 states/eV per atom
SG = Cm, No. 8